--- P ---
## Ti4GaAu (PBE)

Data for a relaxed structure of Ti4GaAu.

abc: 7.8743 18.3061 2.7879
angles: 90.00 90.00 90.00
Space group Pbam (No. 55)
Unique sites:
Ti 0.0679 0.0632 0.0000
Ti 0.0728 0.3109 0.0000
Ti 0.2244 0.4410 0.0000
Ti 0.2285 0.1884 0.0000
Ga 0.1020 0.8134 0.5000
Au 0.1013 0.5695 0.5000

- Crystal system: orthorhombic

---

--- Q ---
## Ti4GaAu (PBE)

Data for a relaxed structure of Ti4GaAu.

abc: 4.3226 4.3226 6.2482
angles: 90.00 90.00 90.00
Space group P4/mmm (No. 123)
Unique sites:
Ti 0.0000 0.5000 0.2424
Ga 0.0000 0.0000 0.0000
Au 0.5000 0.5000 0.5000

- Crystal system: tetragonal

---

Which one is most stable, and which one is least stable? P is the most stable of them, while Q is the least stable.